Density functional theory data (PBE) for Ag2HgGe after structural relaxation.

Summary:
E_form (meV/atom): 205.1
Mass density (g/cm³): 10.29
Magnetization (μB/f.u.): 0.0
Space group: No. 225
Calculated volume (Å³ per cell): 79

Cell lengths 4.814, 4.814, 4.814 Å; angles 60.00, 60.00, 60.00 degrees
Atoms (fractional coordinates):
Ag1 0.250 0.250 0.250
Ag2 0.750 0.750 0.750
Hg1 0.000 0.000 0.000
Ge1 0.500 0.500 0.500